Version a
Material: KHg3Mo
Method: DFT, PBE
State: optimized geometry

Unit cell a=5.477 b=5.477 c=5.477 alpha=90.00 beta=90.00 gamma=90.00
Sites, in units of the cell vectors:
K (0.000, 0.000, 0.000)
Hg (0.000, 0.500, 0.500)
Hg (0.500, 0.000, 0.500)
Hg (0.500, 0.500, 0.000)
Mo (0.500, 0.500, 0.500)

=====

Version b
Material: KHg3Mo
Method: DFT, PBE
State: optimized geometry

Unit cell a=6.173 b=6.173 c=6.173 alpha=90.00 beta=90.00 gamma=90.00
Sites, in units of the cell vectors:
K (0.000, 0.000, 0.000)
Hg (0.000, 0.000, 0.500)
Hg (0.000, 0.500, 0.000)
Hg (0.500, 0.000, 0.000)
Mo (0.500, 0.500, 0.500)

=====

Relative energies in kJ/mol of atoms: version a 0.0; version b 77.8

=====

Version a
Material: KHgMo
Method: DFT, PBE
State: optimized geometry

Unit cell a=7.834 b=7.834 c=7.834 alpha=90.00 beta=90.00 gamma=90.00
Sites, in units of the cell vectors:
K (0.000, 0.000, 0.000)
K (0.000, 0.500, 0.500)
K (0.500, 0.000, 0.500)
K (0.500, 0.500, 0.000)
Hg (0.250, 0.250, 0.750)
Hg (0.250, 0.750, 0.250)
Hg (0.750, 0.250, 0.250)
Hg (0.750, 0.750, 0.750)
Mo (0.250, 0.250, 0.250)
Mo (0.250, 0.750, 0.750)
Mo (0.750, 0.250, 0.750)
Mo (0.750, 0.750, 0.250)

=====

Version b
Material: KHgMo
Method: DFT, PBE
State: optimized geometry

Unit cell a=3.008 b=3.008 c=8.636 alpha=90.00 beta=90.00 gamma=120.00
Sites, in units of the cell vectors:
K (0.000, 0.000, 0.000)
Hg (0.667, 0.333, 0.644)
Mo (0.333, 0.667, 0.356)

=====

Relative energies in kJ/mol of atoms: version a 64.8; version b 0.0

=====

Version a
Material: KHgMo
Method: DFT, PBE
State: optimized geometry

Unit cell a=2.843 b=4.765 c=12.238 alpha=90.00 beta=90.00 gamma=90.00
Sites, in units of the cell vectors:
K (0.000, 0.000, 0.000)
K (0.500, 0.500, 0.500)
Hg (0.000, 0.000, 0.283)
Hg (0.500, 0.500, 0.783)
Mo (0.000, 0.000, 0.723)
Mo (0.500, 0.500, 0.223)

=====

Version b
Material: KHgMo
Method: DFT, PBE
State: optimized geometry

Unit cell a=4.036 b=4.045 c=16.607 alpha=90.00 beta=90.00 gamma=90.00
Sites, in units of the cell vectors:
K (0.000, 0.000, 0.000)
K (0.000, 0.500, 0.500)
K (0.500, 0.000, 0.500)
K (0.500, 0.500, 0.000)
Hg (0.000, 0.000, 0.321)
Hg (0.000, 0.500, 0.821)
Hg (0.500, 0.000, 0.821)
Hg (0.500, 0.500, 0.321)
Mo (0.000, 0.000, 0.682)
Mo (0.000, 0.500, 0.182)
Mo (0.500, 0.000, 0.182)
Mo (0.500, 0.500, 0.682)

=====

Relative energies in kJ/mol of atoms: version a 0.0; version b 1.1

=====

Version a
Material: KHgMo3
Method: DFT, PBE
State: optimized geometry

Unit cell a=4.560 b=4.560 c=4.560 alpha=90.00 beta=90.00 gamma=90.00
Sites, in units of the cell vectors:
K (0.000, 0.000, 0.000)
Hg (0.500, 0.500, 0.500)
Mo (0.000, 0.000, 0.500)
Mo (0.000, 0.500, 0.000)
Mo (0.500, 0.000, 0.000)

=====

Version b
Material: KHgMo3
Method: DFT, PBE
State: optimized geometry

Unit cell a=5.116 b=5.116 c=5.116 alpha=90.00 beta=90.00 gamma=90.00
Sites, in units of the cell vectors:
K (0.000, 0.000, 0.000)
Hg (0.500, 0.500, 0.500)
Mo (0.000, 0.500, 0.500)
Mo (0.500, 0.000, 0.500)
Mo (0.500, 0.500, 0.000)

=====

Relative energies in kJ/mol of atoms: version a 33.3; version b 0.0

=====

Version a
Material: K2HgN
Method: DFT, PBE
State: optimized geometry

Unit cell a=7.614 b=7.614 c=7.614 alpha=90.00 beta=90.00 gamma=90.00
Sites, in units of the cell vectors:
K (0.250, 0.250, 0.250)
K (0.250, 0.250, 0.750)
K (0.250, 0.750, 0.250)
K (0.250, 0.750, 0.750)
K (0.750, 0.250, 0.250)
K (0.750, 0.250, 0.750)
K (0.750, 0.750, 0.250)
K (0.750, 0.750, 0.750)
Hg (0.000, 0.000, 0.000)
Hg (0.000, 0.500, 0.500)
Hg (0.500, 0.000, 0.500)
Hg (0.500, 0.500, 0.000)
N (0.000, 0.000, 0.500)
N (0.000, 0.500, 0.000)
N (0.500, 0.000, 0.000)
N (0.500, 0.500, 0.500)

=====

Version b
Material: K2HgN
Method: DFT, PBE
State: optimized geometry

Unit cell a=11.666 b=11.666 c=4.334 alpha=90.00 beta=90.00 gamma=90.00
Sites, in units of the cell vectors:
K (0.027, 0.250, 0.125)
K (0.250, 0.527, 0.375)
K (0.250, 0.973, 0.875)
K (0.473, 0.250, 0.625)
K (0.527, 0.750, 0.625)
K (0.750, 0.027, 0.875)
K (0.750, 0.473, 0.375)
K (0.973, 0.750, 0.125)
Hg (0.000, 0.000, 0.500)
Hg (0.000, 0.500, 0.750)
Hg (0.500, 0.000, 0.250)
Hg (0.500, 0.500, 0.000)
N (0.000, 0.000, 0.000)
N (0.000, 0.500, 0.250)
N (0.500, 0.000, 0.750)
N (0.500, 0.500, 0.500)

=====

Relative energies in kJ/mol of atoms: version a 31.2; version b 0.0

=====

Version a
Material: K2HgPtN
Method: DFT, PBE
State: optimized geometry

Unit cell a=6.447 b=6.447 c=3.738 alpha=90.00 beta=90.00 gamma=90.00
Sites, in units of the cell vectors:
K (0.000, 0.500, 0.000)
K (0.500, 0.000, 0.000)
Hg (0.000, 0.000, 0.500)
Pt (0.500, 0.500, 0.000)
N (0.500, 0.500, 0.500)

=====

Version b
Material: K2HgPtN
Method: DFT, PBE
State: optimized geometry

Unit cell a=6.014 b=6.014 c=3.757 alpha=90.00 beta=90.00 gamma=90.00
Sites, in units of the cell vectors:
K (0.000, 0.500, 0.000)
K (0.500, 0.000, 0.000)
Hg (0.000, 0.000, 0.500)
Pt (0.500, 0.500, 0.500)
N (0.500, 0.500, 0.000)

=====

Relative energies in kJ/mol of atoms: version a 11.9; version b 0.0

=====

Version a
Material: KHgSN2
Method: DFT, PBE
State: optimized geometry

Unit cell a=5.057 b=5.057 c=6.147 alpha=90.00 beta=90.00 gamma=90.00
Sites, in units of the cell vectors:
K (0.000, 0.000, 0.000)
Hg (0.500, 0.500, 0.500)
S (0.000, 0.000, 0.500)
N (0.000, 0.500, 0.000)
N (0.500, 0.000, 0.000)

=====

Version b
Material: KHgSN2
Method: DFT, PBE
State: optimized geometry

Unit cell a=4.550 b=4.550 c=5.283 alpha=90.00 beta=90.00 gamma=90.00
Sites, in units of the cell vectors:
K (0.000, 0.000, 0.000)
Hg (0.500, 0.500, 0.500)
S (0.500, 0.500, 0.000)
N (0.000, 0.500, 0.500)
N (0.500, 0.000, 0.500)

=====

Relative energies in kJ/mol of atoms: version a 65.0; version b 0.0

=====

Version a
Material: KHgSeN2
Method: DFT, PBE
State: optimized geometry

Unit cell a=4.595 b=4.595 c=5.518 alpha=90.00 beta=90.00 gamma=90.00
Sites, in units of the cell vectors:
K (0.000, 0.000, 0.000)
Hg (0.500, 0.500, 0.500)
Se (0.500, 0.500, 0.000)
N (0.000, 0.500, 0.500)
N (0.500, 0.000, 0.500)

=====

Version b
Material: KHgSeN2
Method: DFT, PBE
State: optimized geometry

Unit cell a=4.989 b=4.989 c=6.481 alpha=90.00 beta=90.00 gamma=90.00
Sites, in units of the cell vectors:
K (0.000, 0.000, 0.000)
Hg (0.500, 0.500, 0.500)
Se (0.000, 0.000, 0.500)
N (0.000, 0.500, 0.000)
N (0.500, 0.000, 0.000)

=====

Relative energies in kJ/mol of atoms: version a 0.0; version b 56.6

=====

Version a
Material: KHgTeN2
Method: DFT, PBE
State: optimized geometry

Unit cell a=4.974 b=4.974 c=7.049 alpha=90.00 beta=90.00 gamma=90.00
Sites, in units of the cell vectors:
K (0.000, 0.000, 0.000)
Hg (0.500, 0.500, 0.500)
Te (0.000, 0.000, 0.500)
N (0.000, 0.500, 0.000)
N (0.500, 0.000, 0.000)

=====

Version b
Material: KHgTeN2
Method: DFT, PBE
State: optimized geometry

Unit cell a=4.805 b=4.805 c=5.844 alpha=90.00 beta=90.00 gamma=90.00
Sites, in units of the cell vectors:
K (0.000, 0.000, 0.000)
Hg (0.500, 0.500, 0.500)
Te (0.500, 0.500, 0.000)
N (0.000, 0.500, 0.500)
N (0.500, 0.000, 0.500)

=====

Relative energies in kJ/mol of atoms: version a 42.4; version b 0.0

=====

Version a
Material: KHgTe2N
Method: DFT, PBE
State: optimized geometry

Unit cell a=6.242 b=6.242 c=4.026 alpha=90.00 beta=90.00 gamma=90.00
Sites, in units of the cell vectors:
K (0.000, 0.000, 0.000)
Hg (0.500, 0.500, 0.500)
Te (0.000, 0.500, 0.500)
Te (0.500, 0.000, 0.500)
N (0.500, 0.500, 0.000)

=====

Version b
Material: KHgTe2N
Method: DFT, PBE
State: optimized geometry

Unit cell a=6.732 b=6.732 c=5.330 alpha=90.00 beta=90.00 gamma=90.00
Sites, in units of the cell vectors:
K (0.000, 0.000, 0.000)
Hg (0.500, 0.500, 0.500)
Te (0.000, 0.500, 0.000)
Te (0.500, 0.000, 0.000)
N (0.000, 0.000, 0.500)

=====

Relative energies in kJ/mol of atoms: version a 0.0; version b 64.2

=====

Version a
Material: K2Na6Hg
Method: DFT, PBE
State: optimized geometry

Unit cell a=10.637 b=10.637 c=3.875 alpha=90.00 beta=90.00 gamma=120.00
Sites, in units of the cell vectors:
K (0.333, 0.667, 0.000)
K (0.667, 0.333, 0.000)
Na (0.000, 0.291, 0.737)
Na (0.000, 0.709, 0.263)
Na (0.291, 0.000, 0.737)
Na (0.291, 0.291, 0.263)
Na (0.709, 0.000, 0.263)
Na (0.709, 0.709, 0.737)
Hg (0.000, 0.000, 0.500)

=====

Version b
Material: K2Na6Hg
Method: DFT, PBE
State: optimized geometry

Unit cell a=10.220 b=10.220 c=3.964 alpha=101.18 beta=101.18 gamma=67.81
Sites, in units of the cell vectors:
K (0.129, 0.129, 0.129)
K (0.871, 0.871, 0.871)
Na (0.171, 0.480, 0.824)
Na (0.276, 0.724, 0.500)
Na (0.480, 0.171, 0.824)
Na (0.520, 0.829, 0.176)
Na (0.724, 0.276, 0.500)
Na (0.829, 0.520, 0.176)
Hg (0.500, 0.500, 0.000)

=====

Relative energies in kJ/mol of atoms: version a 2.1; version b 0.0

=====

Version a
Material: KNaHg
Method: DFT, PBE
State: optimized geometry

Unit cell a=7.961 b=7.961 c=7.961 alpha=90.00 beta=90.00 gamma=90.00
Sites, in units of the cell vectors:
K (0.000, 0.000, 0.000)
K (0.000, 0.500, 0.500)
K (0.500, 0.000, 0.500)
K (0.500, 0.500, 0.000)
Na (0.000, 0.000, 0.500)
Na (0.000, 0.500, 0.000)
Na (0.500, 0.000, 0.000)
Na (0.500, 0.500, 0.500)
Hg (0.250, 0.250, 0.250)
Hg (0.250, 0.750, 0.750)
Hg (0.750, 0.250, 0.750)
Hg (0.750, 0.750, 0.250)

=====

Version b
Material: KNaHg
Method: DFT, PBE
State: optimized geometry

Unit cell a=10.092 b=10.092 c=10.092 alpha=119.73 beta=82.94 gamma=128.83
Sites, in units of the cell vectors:
K (0.000, 0.250, 0.250)
K (0.000, 0.750, 0.750)
K (0.173, 0.630, 0.043)
K (0.176, 0.132, 0.544)
K (0.587, 0.130, 0.957)
K (0.587, 0.632, 0.456)
Na (0.347, 0.347, 0.000)
Na (0.347, 0.847, 0.500)
Na (0.588, 0.209, 0.381)
Na (0.588, 0.706, 0.879)
Na (0.828, 0.206, 0.619)
Na (0.828, 0.709, 0.121)
Hg (0.254, 0.088, 0.167)
Hg (0.254, 0.587, 0.666)
Hg (0.586, 0.837, 0.249)
Hg (0.588, 0.337, 0.751)
Hg (0.921, 0.087, 0.833)
Hg (0.921, 0.588, 0.334)

=====

Relative energies in kJ/mol of atoms: version a 6.7; version b 0.0